# Tl4HgBi

A geometry-optimized Tl4HgBi structure (PBE-GGA, Alexandria via LeMat-Bulk).

Computed properties:
SG: Cmc2_1
E_form in meV/atom: 52.7
Excess energy over the best structure of this formula in the dataset in kJ/mol of formula units: 28
Total magnetic moment in μB per formula unit: 0.00

Cell: 4.948 6.731 12.389 Å, 90.00 101.52 90.00°
Positions (direct):
Tl (0.029, 0.713, 0.058)
Tl (0.314, 0.081, 0.628)
Tl (0.278, 0.594, 0.557)
Hg (0.859, 0.742, 0.718)
Tl (0.722, 0.094, 0.443)
Bi (0.405, 0.416, 0.811)
Hg (0.141, 0.242, 0.282)
Tl (0.686, 0.581, 0.372)
Bi (0.595, 0.916, 0.189)
Tl (0.971, 0.213, 0.942)
Tl (0.556, 0.387, 0.111)
Tl (0.444, 0.887, 0.889)